<w>
Compound: La7Cd2Co2
Source: the Alexandria database
Functional: GGA-PBE
Structure: optimized geometry

Its space group is No. 44.

Lattice parameters (Å, degrees): 3.8328 9.6595 9.6595 69.73 78.56 78.56
Sites, in units of the cell vectors:
La: 0.6843 0.4049 0.2264
Co: 0.6828 0.8945 0.7400
Cd: 0.5000 0.4151 0.5849
La: 0.8427 0.4529 0.8617
La: 0.3157 0.7736 0.5951
La: 0.8637 0.0263 0.2463
La: 0.5000 0.1018 0.8982
Co: 0.3172 0.2600 0.1055
La: 0.1573 0.1383 0.5471
La: 0.1363 0.7537 0.9737
Cd: 0.0000 0.6328 0.3672

***

<x>
Compound: La7Cd2Co2
Source: the Alexandria database
Functional: GGA-PBE
Structure: optimized geometry

Its space group is No. 65.

Lattice parameters (Å, degrees): 7.0784 7.3080 7.0784 90.00 110.49 90.00
Sites, in units of the cell vectors:
La: 0.4997 0.2447 0.0002
La: 0.5003 0.7553 0.9998
La: 0.9998 0.2447 0.5003
La: 0.0002 0.7553 0.4997
La: 0.5002 0.7741 0.4998
La: 0.4998 0.2259 0.5002
Co: 0.2893 0.0000 0.7107
La: 0.0000 0.0000 0.0000
Co: 0.7107 0.0000 0.2893
Cd: 0.1727 0.5000 0.1727
Cd: 0.8273 0.5000 0.8273

***

The data favor <x>; the next most stable structure lies 19 meV/atom above it.